Entry 1:
Below is a relaxed LaAuSe2 crystal, with properties calculated at the PBE level.

Geometry as POSCAR:
```
LaAuSe2
1.0
0.000 3.621 3.621
3.621 0.000 3.621
3.621 3.621 0.000
La Au Se
1 1 2
direct
0.000 0.000 0.000 La
0.750 0.750 0.750 Au
0.250 0.250 0.250 Se
0.500 0.500 0.500 Se
```

**Calculated total energy**: -4.560 eV/atom
**Uncorrected formation energy**: -0.77 eV per atom
**Total magnetization**: 0.00 μB per cell
**Crystal system**: cubic
**DOS at the Fermi energy**: 0.577 states/eV/atom



Entry 2:
Below is a relaxed LaAu2Se crystal, with properties calculated at the PBE level.

Geometry as POSCAR:
```
LaAu2Se
1.0
-4.167 4.167 2.866
4.167 -4.167 2.866
4.167 4.167 -2.866
La Au Se
2 4 2
direct
0.000 0.000 0.000 La
0.750 0.250 0.500 La
0.150 0.625 0.025 Au
0.375 0.400 0.525 Au
0.600 0.125 0.975 Au
0.875 0.850 0.475 Au
0.250 0.750 0.500 Se
0.500 0.500 0.000 Se
```

**Calculated total energy**: -4.446 eV/atom
**Uncorrected formation energy**: -0.70 eV per atom
**Total magnetization**: 0.00 μB per cell
**Crystal system**: tetragonal
**DOS at the Fermi energy**: 0.688 states/eV/atom



Entry 3:
Below is a relaxed La2AuSe2 crystal, with properties calculated at the PBE level.

Geometry as POSCAR:
```
La2AuSe2
1.0
-2.789 2.789 5.182
2.789 -2.789 5.182
2.789 2.789 -5.182
La Au Se
2 1 2
direct
0.250 0.750 0.500 La
0.750 0.250 0.500 La
0.000 0.000 0.000 Au
0.339 0.339 0.000 Se
0.661 0.661 0.000 Se
```

**Calculated total energy**: -5.242 eV/atom
**Uncorrected formation energy**: -1.22 eV per atom
**Total magnetization**: 0.00 μB per cell
**Crystal system**: tetragonal
**DOS at the Fermi energy**: 0.513 states/eV/atom